A plane-wave DFT calculation with PBE was carried out for a relaxed structure of Na4Bi2PdPt.

Density: 8.08 g/cm3
Uncorrected energy: -3.340 eV per atom

Cell lengths 4.9063, 4.9063, 6.9313 Å; angles 90.00, 90.00, 90.00 degrees
Space group P-4m2 (No. 115)
One atom of each set of equivalent atoms:
Na  0.0000  0.0000  0.0000
Na  0.0000  0.5000  0.2491
Na  0.5000  0.5000  0.5000
Bi  0.0000  0.5000  0.7513
Pd  0.0000  0.0000  0.5000
Pt  0.5000  0.5000  0.0000